(1)
This record from the Alexandria database describes a relaxed Th4NiSe2S crystal. The functional is PBE.

Unit cell a=7.157 b=4.064 c=7.373 alpha=90.00 beta=108.94 gamma=90.00
Positions (direct):
Th 0.233 0.000 0.223
Th 0.255 0.500 0.768
Th 0.745 0.500 0.232
Th 0.767 0.000 0.777
Ni 0.000 0.500 0.000
Se 0.000 0.000 0.500
Se 0.500 0.500 0.500
S 0.500 0.000 0.000

Computed properties:
DOS(E_F): 6.5 states/eV per cell
space group: P2/m
ΔE_f (raw): -1.3413 eV per atom
electronic total energy: -7.161 eV/atom

(2)
This record from the Alexandria database describes a relaxed YTiZnBi2 crystal. The functional is PBE.

Unit cell a=5.398 b=5.398 c=4.907 alpha=90.00 beta=90.00 gamma=90.00
Positions (direct):
Y 0.000 0.000 0.000
Ti 0.500 0.500 0.500
Zn 0.500 0.500 0.000
Bi 0.000 0.500 0.500
Bi 0.500 0.000 0.500

Computed properties:
DOS(E_F): 4.2 states/eV per cell
space group: P4/mmm
electronic total energy: -4.598 eV/atom
energy of formation from the pure elements: 0.0813 eV per atom

(3)
This record from the Alexandria database describes a relaxed Sr2CdIn2 crystal. The functional is PBE.

Unit cell a=7.999 b=7.999 c=5.173 alpha=90.00 beta=90.00 gamma=90.00
Positions (direct):
Sr 0.171 0.329 0.000
Sr 0.329 0.829 0.000
Sr 0.671 0.171 0.000
Sr 0.829 0.671 0.000
Cd 0.000 0.000 0.500
Cd 0.500 0.500 0.500
In 0.132 0.632 0.500
In 0.368 0.132 0.500
In 0.632 0.868 0.500
In 0.868 0.368 0.500

Computed properties:
polymorph energy (0 for the lowest one): 0.40 eV/f.u.
DOS(E_F): 11.1 states/eV per cell
space group: P4/mbm
electronic total energy: -2.277 eV/atom
energy of formation from the pure elements: -0.3257 eV per atom

(4)
This record from the Alexandria database describes a relaxed Ac2PmRu crystal. The functional is PBE.

Unit cell a=6.849 b=6.849 c=10.077 alpha=90.00 beta=90.00 gamma=145.06
Positions (direct):
Ac 0.142 0.858 0.570
Ac 0.142 0.858 0.930
Ac 0.858 0.142 0.070
Ac 0.858 0.142 0.430
Pm 0.405 0.595 0.750
Pm 0.595 0.405 0.250
Ru 0.243 0.757 0.250
Ru 0.757 0.243 0.750

Computed properties:
polymorph energy (0 for the lowest one): 0.07 eV/f.u.
DOS(E_F): 8.4 states/eV per cell
space group: Cmcm
electronic total energy: -5.688 eV/atom
energy of formation from the pure elements: -0.1271 eV per atom